1.
{"formula": "NaAsBr3", "functional": "PBEsol", "state": "relaxed", "cell": [[-4.150, 3.016, -0.723], [-2.614, -2.752, 3.526], [1.669, 3.189, 3.726]], "species": ["Na", "As", "Br", "Br", "Br"], "frac_coords": [[0.000, 0.000, 0.000], [0.500, 0.500, 0.500], [0.000, 0.500, 0.000], [0.000, 0.000, 0.500], [0.500, 0.000, 0.000]], "spacegroup": "Pm-3m, No. 221", "e_form_raw_ev_per_atom": 0.13}

***

2.
{"formula": "MgZr3Fe", "functional": "PBEsol", "state": "relaxed", "cell": [[4.942, 0.000, 0.000], [0.000, 4.942, 0.000], [0.000, 0.000, 4.942]], "species": ["Mg", "Fe", "Zr", "Zr", "Zr"], "frac_coords": [[0.000, 0.000, 0.000], [0.500, 0.500, 0.500], [0.000, 0.500, 0.000], [0.000, 0.000, 0.500], [0.500, 0.000, 0.000]], "spacegroup": "Pm-3m, No. 221", "e_form_mev_per_atom": 1607.8}

***

| no. | total DFT energy (no corrections) (eV/atom) |
| --- | --- |
| 1 | -2.296 |
| 2 | -5.982 |